This record from Alexandria via LeMat-Bulk describes crystalline Sm2DyHg3 at its relaxed geometry. The functional is GGA-PBE.

Summary:
**M_tot**: 2.052 Bohr magnetons per cell
**Symmetry**: No. 164
**Energy above the lowest structure with this stoichiometry**: 2.5 meV per atom

Unit cell a=5.330 b=5.330 c=13.087 alpha=90.00 beta=90.00 gamma=120.00
Last column: magnetic moment on the atom in μB.
Positions (direct):
Dy 0.667 0.333 0.333  0.19
Hg 0.667 0.333 0.086  0.02
Hg 0.333 0.667 0.914  0.02
Hg 0.667 0.333 0.582  0.02
Sm 0.667 0.333 0.832  0.18
Sm 0.333 0.667 0.168  0.18
Hg 0.000 0.000 0.253  0.02
Sm 0.000 0.000 0.500  0.13
Dy 0.333 0.667 0.667  0.19
Sm 0.000 0.000 0.000  0.21
Hg 0.333 0.667 0.418  0.02
Hg 0.000 0.000 0.747  0.02

***

This record from Alexandria via LeMat-Bulk describes crystalline Sm2Dy3Hg4 at its relaxed geometry. The functional is GGA-PBE.

Summary:
**M_tot**: 0.002 Bohr magnetons per cell
**Electronic total energy**: -27.52 eV per formula unit
**Symmetry**: No. 64

Unit cell a=6.985 b=8.134 c=9.629 alpha=90.00 beta=111.27 gamma=90.00
Positions (direct):
Hg 0.316 0.250 0.132
Dy 0.000 0.000 0.000
Hg 0.816 0.250 0.132
Sm 0.595 0.911 0.191
Dy 0.011 0.750 0.523
Sm 0.905 0.411 0.809
Sm 0.405 0.089 0.809
Dy 0.989 0.250 0.477
Hg 0.833 0.031 0.666
Hg 0.184 0.750 0.868
Dy 0.489 0.250 0.477
Hg 0.333 0.469 0.666
Hg 0.684 0.750 0.868
Hg 0.667 0.531 0.334
Hg 0.167 0.969 0.334
Sm 0.095 0.589 0.191
Dy 0.500 0.500 0.000
Dy 0.511 0.750 0.523

***

This record from Alexandria via LeMat-Bulk describes crystalline Sm4DyHg at its relaxed geometry. The functional is GGA-PBE.

Summary:
**M_tot**: 0.000 Bohr magnetons per cell
**Symmetry**: No. 15
**Energy above the lowest structure with this stoichiometry**: 95.8 meV per atom

Unit cell a=6.450 b=9.119 c=8.327 alpha=113.38 beta=100.02 gamma=112.92
Positions (direct):
Hg 0.749 0.999 0.998
Sm 0.958 0.834 0.234
Sm 0.241 0.288 0.378
Sm 0.042 0.166 0.766
Sm 0.363 0.910 0.622
Sm 0.759 0.712 0.622
Sm 0.776 0.400 0.234
Dy 0.342 0.592 0.184
Sm 0.637 0.090 0.378
Sm 0.224 0.600 0.766
Dy 0.658 0.408 0.816
Hg 0.251 0.001 0.002

***

This record from Alexandria via LeMat-Bulk describes crystalline Sm2Dy3Hg3 at its relaxed geometry. The functional is GGA-PBE.

Summary:
**M_tot**: 0.000 Bohr magnetons per cell
**Electronic total energy**: -26.97 eV per formula unit
**Symmetry**: No. 71

Unit cell a=3.759 b=5.314 c=11.607 alpha=103.23 beta=99.32 gamma=90.00
Positions (direct):
Dy 0.381 0.381 0.761
Hg 0.115 0.115 0.231
Dy 0.619 0.619 0.239
Hg 0.885 0.885 0.769
Hg 0.000 0.500 0.000
Sm 0.731 0.231 0.463
Dy 0.500 0.000 0.000
Sm 0.269 0.769 0.537